This record from the Alexandria database describes MgZnTcSeO after structural relaxation. The functional is PBE-GGA.

Structure (POSCAR):
```
MgZnTcSeO
1.0
3.270 0.000 0.000
-1.635 2.832 0.000
0.000 0.000 8.515
Mg O Tc Zn Se
1 1 1 1 1
Cartesian
1.635 0.944 2.196
0.000 1.888 1.702
1.635 0.944 6.218
0.000 1.888 8.152
0.000 0.000 4.689
```

Computed properties:
- relative energy among the computed polymorphs (eV per formula unit) = 0.086
- crystal system = trigonal
- ΔE_f (raw) (eV per atom) = -1.015